This record from the Alexandria database describes crystalline CoIBr2 at its relaxed geometry. The functional is PBE-GGA.

The structure belongs to space group I-42d (No. 122); the cell edges are 7.0680, 7.0680 and 9.9353 Å and the angles 90.00°, 90.00° and 90.00°. Symmetry generates all atoms from Co at (0.0000, 0.0000, 0.0000), I at (0.0000, 0.0000, 0.5000) and Br at (0.1100, 0.2500, 0.1250).

As for the energy relative to the elements, uncorrected: 18.7 kJ/mol of atoms. The total energy is -44.913 eV for the cell shown. The energy above the lowest structure with this stoichiometry comes out at 0.438 eV/atom.